Material: CrInTeO6
Method: DFT, PBE+U
State: relaxed

Results
total DFT energy (no corrections): -112.37 eV/cell

Cell lengths 5.176, 5.176, 9.281 Å; angles 90.00, 90.00, 120.00 degrees
Element x y z (fractional)
Cr 0.333 0.667 0.250
Cr 0.667 0.333 0.750
In 0.000 0.000 0.000
In 0.000 0.000 0.500
Te 0.333 0.667 0.750
Te 0.667 0.333 0.250
O 0.008 0.360 0.635
O 0.008 0.648 0.865
O 0.352 0.360 0.865
O 0.352 0.992 0.635
O 0.360 0.008 0.135
O 0.360 0.352 0.365
O 0.640 0.648 0.635
O 0.640 0.992 0.865
O 0.648 0.008 0.365
O 0.648 0.640 0.135
O 0.992 0.352 0.135
O 0.992 0.640 0.365